#a
Here is crystalline ZrSnB3 at its relaxed geometry from Alexandria. Energies are from PBE.

POSCAR file:
```
ZrSnB3
1.0
4.3434 0.0000 0.0000
0.0000 4.3434 0.0000
0.0000 0.0000 4.3434
B Sn Zr
3 1 1
Direct
0.0000 0.5000 0.0000 B
0.0000 0.0000 0.5000 B
0.5000 0.0000 0.0000 B
0.0000 0.0000 0.0000 Sn
0.5000 0.5000 0.5000 Zr
```

***

#b
Here is crystalline ZrSnB3 at its relaxed geometry from Alexandria. Energies are from PBE.

POSCAR file:
```
ZrSnB3
1.0
-2.8276 3.5272 0.1533
-3.4201 -2.6877 -1.2406
-0.8763 -0.8914 4.3471
B Sn Zr
3 1 1
Direct
0.0000 0.5000 0.0000 B
0.0000 0.0000 0.5000 B
0.5000 0.0000 0.0000 B
0.5000 0.5000 0.5000 Sn
0.0000 0.0000 0.0000 Zr
```

***

Relative energies, eV/atom: #a 0.269; #b 0.000.

***

#a
Here is crystalline Zr2Sn2B at its relaxed geometry from Alexandria. Energies are from PBE.

POSCAR file:
```
Zr2Sn2B
1.0
-1.1811 5.8473 2.8582
-5.9171 -2.1746 2.0036
1.9494 -1.5814 4.0407
B Sn Zr
2 4 4
Direct
0.0000 0.0000 0.0000 B
0.5000 0.5000 0.0000 B
0.1550 0.6550 0.5000 Sn
0.6550 0.8450 0.5000 Sn
0.8450 0.3450 0.5000 Sn
0.3450 0.1550 0.5000 Sn
0.3290 0.8290 0.0000 Zr
0.8290 0.6710 0.0000 Zr
0.6710 0.1710 0.0000 Zr
0.1710 0.3290 0.0000 Zr
```

***

#b
Here is crystalline Zr2Sn2B at its relaxed geometry from Alexandria. Energies are from PBE.

POSCAR file:
```
Zr2Sn2B
1.0
-2.3215 3.0693 0.2809
-2.2806 -1.9472 2.4283
1.6688 3.0406 7.0712
B Sn Zr
1 2 2
Direct
0.0000 0.0000 0.0000 B
0.7500 0.2500 0.5000 Sn
0.2500 0.7500 0.5000 Sn
0.4098 0.4098 0.1805 Zr
0.5902 0.5902 0.8195 Zr
```

***

Relative energies, eV/atom: #a 0.000; #b 0.757.

***

#a
Here is crystalline SrB2 at its relaxed geometry from Alexandria. Energies are from PBE.

POSCAR file:
```
SrB2
1.0
5.2109 0.0000 -0.0042
0.0000 4.5190 0.0000
-2.4099 0.0000 4.7245
Sr B
2 4
Direct
0.1150 0.5000 0.6928 Sr
0.7483 0.0000 0.0529 Sr
0.3588 0.6809 0.2952 B
0.3588 0.3191 0.2952 B
0.2845 0.0000 0.1201 B
0.4049 0.0000 0.4699 B
```

***

#b
Here is crystalline SrB2 at its relaxed geometry from Alexandria. Energies are from PBE.

POSCAR file:
```
SrB2
1.0
-1.2521 -3.3695 5.0594
-1.9461 -6.9040 -5.0795
4.2576 2.1402 -4.5401
Sr B
4 8
Direct
0.7500 0.8055 0.7500 Sr
0.2500 0.1945 0.2500 Sr
0.7500 0.3055 0.2500 Sr
0.2500 0.6945 0.7500 Sr
0.9618 0.9720 0.3313 B
0.5382 0.9720 0.1687 B
0.0382 0.0280 0.6687 B
0.4618 0.0280 0.8313 B
0.9618 0.4720 0.8313 B
0.5382 0.4720 0.6687 B
0.0382 0.5280 0.1687 B
0.4618 0.5280 0.3313 B
```

***

Relative energies, eV/atom: #a 0.041; #b 0.000.